First-principles (GGA+U) data for crystalline Fe2BAuF at its relaxed geometry, as listed in the Alexandria database.

**Theoretical density**: 7.7 g/cm³
**Total magnetization**: 7.36 μB per formula unit
**Excess energy over the best structure of this formula in the dataset**: 0.000 eV/atom

Cell: 4.3721 4.3721 3.8020 Å, 90.00 90.00 90.00°
Positions (direct):
Fe 0.0000 0.5000 0.0000
Fe 0.5000 0.0000 0.0000
B 0.0000 0.0000 0.0000
Au 0.5000 0.5000 0.5000
F 0.0000 0.0000 0.5000